9
Lattice="-4.3864 2.3055 -0.1038 -4.4463 -2.9236 4.6181 -0.4927 4.6668 6.1378" Properties=species:S:1:pos:R:3 comment="Pm6GeN2, optimized geometry, DFT PBE-GGA" formation_energy_uncorrected_mev_per_atom=-707 sg="No. 12" e_tot_ev_per_atom=-6.237 total_magnetization_mub_per_cell=0.0 pbc="T T T"
Pm -6.5283 3.9573 8.7581
Pm -2.7972 0.0913 1.8940
Pm -8.1784 0.6523 5.0820
Pm -5.0351 1.3876 6.9184
Pm -1.1470 3.3964 5.5700
Pm -4.2904 2.6611 3.7337
Ge -2.4695 0.8716 5.3779
N -4.4659 2.5616 8.9392
N -4.8596 1.4871 1.7129



14
Lattice="-0.9274 3.9589 0.3702 -3.6555 -0.2546 -6.4336 -10.0161 -2.8891 5.8053" Properties=species:S:1:pos:R:3 comment="Pm4Ge2N, optimized geometry, DFT PBE-GGA" formation_energy_uncorrected_mev_per_atom=-788 sg="No. 55" e_tot_ev_per_atom=-6.012 total_magnetization_mub_per_cell=0.0 pbc="T T T"
Pm -10.3513 -2.4926 0.7259
Pm -3.3203 -0.6511 -1.3542
Pm -7.3534 -2.0277 3.2645
Pm -6.3182 -1.1160 -3.8927
Pm -8.8321 0.1881 -1.6208
Pm -5.7668 0.6271 1.3628
Pm -3.6171 1.6470 -4.1593
Pm -10.9818 -0.8319 3.9013
Ge -12.0050 -0.6231 -0.8944
Ge -2.5939 1.4383 0.6363
Ge -8.7599 -0.0869 1.5009
Ge -5.8390 0.9021 -1.7590
N -5.0081 -1.4445 2.9027
N -1.8277 -0.1273 -3.2168